Computed, not measured: a relaxed structure of RhPb at the PBE-GGA level of DFT.

a b c (Å): 8.1267 8.1267 8.1267
angles (deg): 90.00 90.00 90.00
Closest atoms and distances in Å follow each position.
Fractional positions:
Rh 0.1185 0.1185 0.1185  4 Pb 2.58-2.73, 3 Rh 2.72
Rh 0.1185 0.8815 0.8815  4 Pb 2.58-2.73, 3 Rh 2.72
Rh 0.8815 0.1185 0.8815  4 Pb 2.58-2.73, 3 Rh 2.72
Rh 0.8815 0.8815 0.1185  4 Pb 2.58-2.73, 3 Rh 2.72
Rh 0.6185 0.6185 0.6185  4 Pb 2.58-2.73, 3 Rh 2.72
Rh 0.6185 0.3815 0.3815  4 Pb 2.58-2.73, 3 Rh 2.72
Rh 0.3815 0.6185 0.3815  4 Pb 2.58-2.73, 3 Rh 2.72
Rh 0.3815 0.3815 0.6185  4 Pb 2.58-2.73, 3 Rh 2.72
Pb 0.3018 0.3018 0.3018  4 Rh 2.58-2.73
Pb 0.3018 0.6982 0.6982  4 Rh 2.58-2.73
Pb 0.6982 0.3018 0.6982  4 Rh 2.58-2.73
Pb 0.6982 0.6982 0.3018  4 Rh 2.58-2.73
Pb 0.8018 0.8018 0.8018  4 Rh 2.58-2.73
Pb 0.8018 0.1982 0.1982  4 Rh 2.58-2.73
Pb 0.1982 0.8018 0.1982  4 Rh 2.58-2.73
Pb 0.1982 0.1982 0.8018  4 Rh 2.58-2.73

Output
Symmetry = I-43m, No. 217

Computed, not measured: a relaxed structure of Rh3Pb at the PBE-GGA level of DFT.

a b c (Å): 8.4607 8.4607 2.8842
angles (deg): 90.00 90.00 126.33
Closest atoms and distances in Å follow each position.
Fractional positions:
Rh 0.9295 0.0705 0.2500  6 Rh 2.57-2.60
Rh 0.0705 0.9295 0.7500  6 Rh 2.57-2.60
Rh 0.9932 0.6352 0.2500  7 Rh 2.60-2.88, 3 Pb 2.83-2.91
Rh 0.0068 0.3648 0.7500  7 Rh 2.60-2.88, 3 Pb 2.83-2.91
Rh 0.3648 0.0068 0.2500  7 Rh 2.60-2.88, 3 Pb 2.83-2.91
Rh 0.6352 0.9932 0.7500  7 Rh 2.60-2.88, 3 Pb 2.83-2.91
Pb 0.6530 0.3470 0.7500  6 Rh 2.83-2.91, 2 Pb 2.88
Pb 0.3470 0.6530 0.2500  6 Rh 2.83-2.91, 2 Pb 2.88

Output
Symmetry = Cmcm, No. 63

Computed, not measured: a relaxed structure of Rh3Pb at the PBE-GGA level of DFT.

a b c (Å): 5.7537 5.7537 4.5619
angles (deg): 90.00 90.00 120.00
Closest atoms and distances in Å follow each position.
Fractional positions:
Pb 0.3333 0.6667 0.2500  12 Rh 2.86-2.88
Pb 0.6667 0.3333 0.7500  12 Rh 2.86-2.88
Rh 0.8398 0.6797 0.2500  8 Rh 2.76-2.99, 4 Pb 2.86-2.88
Rh 0.3203 0.1602 0.2500  8 Rh 2.76-2.99, 4 Pb 2.86-2.88
Rh 0.8398 0.1602 0.2500  8 Rh 2.76-2.99, 4 Pb 2.86-2.88
Rh 0.1602 0.3203 0.7500  8 Rh 2.76-2.99, 4 Pb 2.86-2.88
Rh 0.6797 0.8398 0.7500  8 Rh 2.76-2.99, 4 Pb 2.86-2.88
Rh 0.1602 0.8398 0.7500  8 Rh 2.76-2.99, 4 Pb 2.86-2.88

Output
Symmetry = P6_3/mmc, No. 194

Computed, not measured: a relaxed structure of Rh5Pb at the PBE-GGA level of DFT.

a b c (Å): 2.8749 2.8749 11.4840
angles (deg): 90.00 90.00 90.00
Closest atoms and distances in Å follow each position.
Fractional positions:
Rh 0.0000 0.0000 0.8167  8 Rh 2.73-2.87, 4 Pb 2.93
Rh 0.0000 0.0000 0.1833  8 Rh 2.73-2.87, 4 Pb 2.93
Rh 0.5000 0.5000 0.6581  12 Rh 2.73-2.87
Rh 0.5000 0.5000 0.3419  12 Rh 2.73-2.87
Rh 0.0000 0.0000 0.5000  12 Rh 2.73-2.87
Pb 0.5000 0.5000 0.0000  4 Pb 2.87, 8 Rh 2.93

Output
Symmetry = P4/mmm, No. 123

Computed, not measured: a relaxed structure of Rh3Pb at the PBE-GGA level of DFT.

a b c (Å): 2.9892 3.7937 5.8420
angles (deg): 90.00 90.00 90.00
Closest atoms and distances in Å follow each position.
Fractional positions:
Rh 0.5000 0.5000 0.7266  5 Rh 2.65-2.75, 4 Pb 2.90
Rh 0.0000 0.0000 0.5000  10 Rh 2.75-2.99, 2 Pb 2.92
Rh 0.5000 0.5000 0.2734  5 Rh 2.65-2.75, 4 Pb 2.90
Pb 0.0000 0.0000 0.0000  10 Rh 2.90-2.92, 2 Pb 2.99

Output
Symmetry = Pmmm, No. 47

Computed, not measured: a relaxed structure of Rh5Pb at the PBE-GGA level of DFT.

a b c (Å): 5.2917 5.2917 6.6757
angles (deg): 74.93 74.93 31.57
Closest atoms and distances in Å follow each position.
Fractional positions:
Rh 0.3318 0.3318 0.3442  10 Rh 2.71-2.88, 2 Pb 2.84
Rh 0.6702 0.6702 0.6592  10 Rh 2.69-2.88, 2 Pb 2.87
Rh 0.6173 0.6173 0.2857  10 Rh 2.69-2.88, 2 Pb 2.92
Rh 0.9465 0.9465 0.5977  11 Rh 2.71-2.90, 1 Pb 2.86
Rh 0.2720 0.2720 0.9461  3 Pb 2.74-2.80, 9 Rh 2.79-2.90
Pb 0.9956 0.9956 0.0005  10 Rh 2.74-2.92, 2 Pb 2.88

Output
Symmetry = Cm, No. 8

Computed, not measured: a relaxed structure of Rh2Pb at the PBE-GGA level of DFT.

a b c (Å): 5.2667 5.2667 7.2487
angles (deg): 67.20 67.20 34.91
Closest atoms and distances in Å follow each position.
Fractional positions:
Rh 0.3499 0.3499 0.5213  6 Rh 2.67-2.90, 2 Pb 2.78
Rh 0.6711 0.6711 0.8579  5 Pb 2.72-2.86, 3 Rh 2.84-2.85
Rh 0.3289 0.3289 0.1421  5 Pb 2.72-2.86, 3 Rh 2.84-2.85
Rh 0.6501 0.6501 0.4787  6 Rh 2.67-2.90, 2 Pb 2.78
Pb 0.0418 0.0418 0.2109  9 Rh 2.72-3.03
Pb 0.9582 0.9582 0.7891  9 Rh 2.72-3.03

Output
Symmetry = C2/m, No. 12

Computed, not measured: a relaxed structure of Rh7Pb at the PBE-GGA level of DFT.

a b c (Å): 5.5550 5.5550 5.5550
angles (deg): 60.00 60.00 60.00
Closest atoms and distances in Å follow each position.
Fractional positions:
Pb 0.0000 0.0000 0.0000  12 Rh 2.78
Rh 0.5000 0.0000 0.5000  2 Pb 2.78, 10 Rh 2.78
Rh 0.0000 0.5000 0.5000  10 Rh 2.78, 2 Pb 2.78
Rh 0.0000 0.0000 0.5000  10 Rh 2.78, 2 Pb 2.78
Rh 0.0000 0.5000 0.0000  10 Rh 2.78, 2 Pb 2.78
Rh 0.5000 0.0000 0.0000  10 Rh 2.78, 2 Pb 2.78
Rh 0.5000 0.5000 0.0000  10 Rh 2.78, 2 Pb 2.78
Rh 0.5000 0.5000 0.5000  12 Rh 2.78

Output
Symmetry = Fm-3m, No. 225

Computed, not measured: a relaxed structure of RhPb at the PBE-GGA level of DFT.

a b c (Å): 3.9084 3.9084 3.9084
angles (deg): 60.00 60.00 60.00
Closest atoms and distances in Å follow each position.
Fractional positions:
Rh 0.5000 0.5000 0.5000  6 Pb 2.76
Pb 0.0000 0.0000 0.0000  6 Rh 2.76

Output
Symmetry = Fm-3m, No. 225

Computed, not measured: a relaxed structure of Rh4Pb3 at the PBE-GGA level of DFT.

a b c (Å): 13.0603 13.0603 13.0603
angles (deg): 165.65 165.65 20.35
Closest atoms and distances in Å follow each position.
Fractional positions:
Rh 0.8736 0.8736 0.0000  4 Rh 2.83, 4 Pb 2.85
Rh 0.1264 0.1264 0.0000  4 Rh 2.83, 4 Pb 2.85
Rh 0.5625 0.5625 0.0000  4 Pb 2.81, 4 Rh 2.83
Rh 0.4375 0.4375 0.0000  4 Pb 2.81, 4 Rh 2.83
Pb 0.0000 0.0000 0.0000  8 Rh 2.81
Pb 0.6917 0.6917 0.0000  4 Rh 2.85
Pb 0.3083 0.3083 0.0000  4 Rh 2.85

Output
Symmetry = I4/mmm, No. 139

Computed, not measured: a relaxed structure of RhPb at the PBE-GGA level of DFT.

a b c (Å): 6.7526 6.7526 5.7439
angles (deg): 73.95 73.95 28.74
Closest atoms and distances in Å follow each position.
Fractional positions:
Rh 0.5000 0.5000 0.0000  6 Pb 2.85-2.87
Rh 0.8437 0.8437 0.7711  6 Pb 2.72-3.03
Rh 0.1563 0.1563 0.2289  6 Pb 2.72-3.03
Pb 0.8278 0.8278 0.2545  6 Rh 2.72-3.03
Pb 0.1722 0.1722 0.7455  6 Rh 2.72-3.03
Pb 0.5000 0.5000 0.5000  6 Rh 2.76-2.87

Output
Symmetry = C2/m, No. 12

Computed, not measured: a relaxed structure of Rh2Pb at the PBE-GGA level of DFT.

a b c (Å): 5.6864 5.6864 5.6864
angles (deg): 147.82 147.82 46.15
Closest atoms and distances in Å follow each position.
Fractional positions:
Rh 0.1662 0.1662 0.0000  4 Pb 2.83, 8 Rh 2.84-3.15
Rh 0.8338 0.8338 0.0000  4 Pb 2.83, 8 Rh 2.84-3.15
Pb 0.5000 0.5000 0.0000  8 Rh 2.83, 4 Pb 3.15

Output
Symmetry = I4/mmm, No. 139

no.,formation energy (eV per formula unit)
1,0.598
2,1.543
3,0.217
4,1.414
5,0.684
6,1.035
7,0.433
8,0.369
9,0.359
10,1.249
11,0.167
12,0.697